Entry one
Computed, not measured: an optimized crystal structure of TlB4W at the PBE-GGA level of DFT.

extended XYZ file:
```
6
Lattice="3.013 0.000 0.000 -1.507 2.610 0.000 0.000 0.000 9.137" Properties=species:S:1:pos:R:3 pbc="T T T"
W 0.000 0.000 0.000
B 1.507 0.870 1.647
B 0.000 1.740 1.647
B 0.000 1.740 7.489
B 1.507 0.870 7.489
Tl 0.000 0.000 4.568
```

Summary:
SG: P6/mmm
total magnetization: 0.00 μB/atom

---

Entry two
Computed, not measured: an optimized crystal structure of TlB4W at the PBE-GGA level of DFT.

extended XYZ file:
```
6
Lattice="-1.530 2.648 3.860 1.530 -2.648 3.860 1.530 2.648 -3.860" Properties=species:S:1:pos:R:3 pbc="T T T"
Tl 0.000 0.000 0.000
B 1.530 0.863 1.970
B 0.000 3.511 1.890
B 0.000 1.785 1.890
B 1.530 -0.863 1.970
W 0.000 0.000 3.860
```

Summary:
SG: Immm
total magnetization: 0.00 μB/atom

---

On energetic grounds, entry one is preferred over the next structure by 55.7 kJ/mol of atoms.

---

Entry one
Computed, not measured: an optimized crystal structure of TmB4W at the PBE-GGA level of DFT.

extended XYZ file:
```
6
Lattice="-1.573 2.698 3.465 1.573 -2.698 3.465 1.573 2.698 -3.465" Properties=species:S:1:pos:R:3 pbc="T T T"
B 0.000 3.580 1.727
B 1.573 0.882 1.738
B 1.573 -0.882 1.738
B 0.000 1.816 1.727
Tm 0.000 0.000 0.000
W 0.000 0.000 3.465
```

Summary:
SG: Immm
total magnetization: 0.00 μB/atom

---

Entry two
Computed, not measured: an optimized crystal structure of TmB4W at the PBE-GGA level of DFT.

extended XYZ file:
```
6
Lattice="-1.466 -0.143 -2.745 3.081 -0.438 0.145 -1.022 -6.896 0.906" Properties=species:S:1:pos:R:3 pbc="T T T"
B 0.779 -5.646 -0.121
B -0.186 -1.831 -1.573
B 1.330 -1.929 -0.609
B -0.737 -5.548 -1.085
Tm -0.511 -3.448 0.453
W 0.000 0.000 0.000
```

Summary:
SG: P6/mmm
total magnetization: 0.00 μB/atom

---

On energetic grounds, entry two is preferred over the next structure by 2.0 kJ/mol of atoms.

---

Entry one
Computed, not measured: an optimized crystal structure of TmZnB at the PBE-GGA level of DFT.

extended XYZ file:
```
3
Lattice="0.000 2.939 2.939 2.939 0.000 2.939 2.939 2.939 0.000" Properties=species:S:1:pos:R:3 pbc="T T T"
Zn 0.000 0.000 0.000
B 1.470 1.470 1.470
Tm 4.408 4.408 4.408
```

Summary:
SG: F-43m
total magnetization: 0.00 μB/atom

---

Entry two
Computed, not measured: an optimized crystal structure of TmZnB at the PBE-GGA level of DFT.

extended XYZ file:
```
3
Lattice="0.000 2.901 2.901 2.901 0.000 2.901 2.901 2.901 0.000" Properties=species:S:1:pos:R:3 pbc="T T T"
Zn 4.352 4.352 4.352
B 0.000 0.000 0.000
Tm 1.451 1.451 1.451
```

Summary:
SG: F-43m
total magnetization: 0.00 μB/atom

---

Entry three
Computed, not measured: an optimized crystal structure of TmZnB at the PBE-GGA level of DFT.

extended XYZ file:
```
3
Lattice="0.000 3.067 3.067 3.067 0.000 3.067 3.067 3.067 0.000" Properties=species:S:1:pos:R:3 pbc="T T T"
B 1.534 1.534 1.534
Zn 4.601 4.601 4.601
Tm 0.000 0.000 0.000
```

Summary:
SG: F-43m
total magnetization: 0.00 μB/atom

---

On energetic grounds, entry two is preferred over the next structure by 54.1 kJ/mol of atoms.

---

Entry one
Computed, not measured: an optimized crystal structure of UB at the PBE-GGA level of DFT.

extended XYZ file:
```
2
Lattice="-2.212 -1.860 2.085 -2.933 -1.477 -1.384 -0.219 -3.540 -0.345" Properties=species:S:1:pos:R:3 pbc="T T T"
U -2.682 -3.438 0.178
B 0.000 0.000 0.000
```

Summary:
SG: Fm-3m
total magnetization: 0.01 μB/atom

---

Entry two
Computed, not measured: an optimized crystal structure of UB at the PBE-GGA level of DFT.

extended XYZ file:
```
2
Lattice="-0.199 0.918 2.745 -1.125 -2.564 -0.757 3.551 -1.813 0.864" Properties=species:S:1:pos:R:3 pbc="T T T"
U 0.071 -1.857 0.626
B 2.155 -1.603 2.226
```

Summary:
SG: P-6m2
total magnetization: 0.17 μB/atom

---

On energetic grounds, entry one is preferred over the next structure by 38.3 kJ/mol of atoms.

---

Entry one
Computed, not measured: an optimized crystal structure of UB at the PBE-GGA level of DFT.

extended XYZ file:
```
2
Lattice="1.772 1.023 2.943 -1.772 1.023 2.943 0.000 -2.046 2.943" Properties=species:S:1:pos:R:3 pbc="T T T"
B 0.000 0.000 0.000
U 0.000 0.000 4.414
```

Summary:
SG: R-3m
total magnetization: 0.00 μB/atom

---

Entry two
Computed, not measured: an optimized crystal structure of UB at the PBE-GGA level of DFT.

extended XYZ file:
```
2
Lattice="1.699 -2.093 2.757 -0.259 1.096 3.688 -2.146 -2.039 2.471" Properties=species:S:1:pos:R:3 pbc="T T T"
U -0.176 -0.759 2.229
B 0.000 0.000 0.000
```

Summary:
SG: F-43m
total magnetization: 0.48 μB/atom

---

On energetic grounds, entry one is preferred over the next structure by 62.2 kJ/mol of atoms.

---

Entry one
Computed, not measured: an optimized crystal structure of YBW at the PBE-GGA level of DFT.

extended XYZ file:
```
3
Lattice="-1.717 -3.265 1.914 -3.905 -1.110 -0.886 -0.735 -3.499 -2.117" Properties=species:S:1:pos:R:3 pbc="T T T"
W -1.589 -1.969 -0.272
Y -4.768 -5.906 -0.817
B 0.000 0.000 0.000
```

Summary:
SG: F-43m
total magnetization: 0.00 μB/atom

---

Entry two
Computed, not measured: an optimized crystal structure of YBW at the PBE-GGA level of DFT.

extended XYZ file:
```
12
Lattice="6.816 0.000 0.000 0.000 3.438 0.000 0.000 0.000 8.398" Properties=species:S:1:pos:R:3 pbc="T T T"
Y 3.227 0.859 6.941
Y 3.588 2.578 1.456
Y 6.635 0.859 5.655
Y 0.180 2.578 2.742
W 5.896 0.859 0.381
W 4.328 2.578 4.580
W 2.488 0.859 3.817
W 0.920 2.578 8.016
B 1.967 2.578 5.246
B 5.375 2.578 7.351
B 1.441 0.859 1.047
B 4.849 0.859 3.152
```

Summary:
SG: Pnma
total magnetization: 0.01 μB/atom

---

On energetic grounds, entry two is preferred over the next structure by 53.2 kJ/mol of atoms.

---

Entry one
Computed, not measured: an optimized crystal structure of ZrB4W at the PBE-GGA level of DFT.

extended XYZ file:
```
6
Lattice="-0.064 -0.302 -3.104 2.426 -1.100 1.624 -3.138 -5.967 0.645" Properties=species:S:1:pos:R:3 pbc="T T T"
B -0.053 -2.124 -1.360
B -1.553 -4.978 -1.052
B 0.777 -2.391 0.216
B -0.723 -5.244 0.524
W -1.569 -2.983 0.322
Zr 0.000 0.000 0.000
```

Summary:
SG: P6/mmm
total magnetization: 0.00 μB/atom

---

Entry two
Computed, not measured: an optimized crystal structure of ZrB4W at the PBE-GGA level of DFT.

extended XYZ file:
```
24
Lattice="5.942 0.000 0.000 0.000 11.473 0.000 0.000 0.000 3.521" Properties=species:S:1:pos:R:3 pbc="T T T"
Zr 5.179 9.762 0.000
Zr 3.734 4.025 0.000
Zr 2.208 7.447 0.000
Zr 0.763 1.711 0.000
W 5.136 6.747 0.000
W 2.165 10.462 0.000
W 0.805 4.726 0.000
W 3.776 1.011 0.000
B 4.735 2.159 1.761
B 5.170 0.365 1.761
B 3.666 10.912 1.761
B 4.178 7.895 1.761
B 5.814 3.491 1.761
B 3.099 9.227 1.761
B 2.199 5.371 1.761
B 1.207 9.314 1.761
B 1.764 3.577 1.761
B 0.772 11.107 1.761
B 0.128 7.982 1.761
B 5.247 5.176 1.761
B 3.743 6.101 1.761
B 2.843 2.246 1.761
B 0.695 6.297 1.761
B 2.276 0.561 1.761
```

Summary:
SG: Pbam
total magnetization: 0.00 μB/atom

---

On energetic grounds, entry one is preferred over the next structure by 1.0 kJ/mol of atoms.

---

Entry one
Computed, not measured: an optimized crystal structure of YZnB4 at the PBE-GGA level of DFT.

extended XYZ file:
```
6
Lattice="3.182 0.000 0.000 -1.591 2.756 0.000 0.000 0.000 7.143" Properties=species:S:1:pos:R:3 pbc="T T T"
B 0.000 1.837 1.933
B 1.591 0.919 1.933
B 0.000 1.837 5.211
B 1.591 0.919 5.211
Y 0.000 0.000 0.000
Zn 0.000 0.000 3.572
```

Summary:
SG: P6/mmm
total magnetization: 0.00 μB/atom

---

Entry two
Computed, not measured: an optimized crystal structure of YZnB4 at the PBE-GGA level of DFT.

extended XYZ file:
```
6
Lattice="1.410 -4.775 0.127 -1.604 -1.598 4.436 -1.578 1.722 -4.399" Properties=species:S:1:pos:R:3 pbc="T T T"
B -0.164 -3.729 -1.698
B -0.105 -2.652 -0.191
B -1.608 -0.922 1.862
B -1.667 -1.999 0.355
Y 0.000 0.000 0.000
Zn -0.097 -3.186 2.281
```

Summary:
SG: Immm
total magnetization: 0.00 μB/atom

---

On energetic grounds, entry two is preferred over the next structure by 9.2 kJ/mol of atoms.

---

Entry one
Computed, not measured: an optimized crystal structure of ZnB6 at the PBE-GGA level of DFT.

extended XYZ file:
```
14
Lattice="-2.213 -4.754 1.185 3.482 -2.837 2.954 -1.619 0.078 5.126" Properties=species:S:1:pos:R:3 pbc="T T T"
B -0.695 -1.604 0.521
B 0.638 -6.284 4.751
B -1.429 -6.506 8.193
B 0.159 -7.414 7.517
B -2.290 -4.610 5.998
B -0.989 -1.229 4.514
B 0.344 -5.909 8.744
B -0.510 -0.099 1.748
B 0.980 -3.509 7.014
B 1.078 -1.007 1.072
B 1.940 -2.903 3.267
B -1.330 -4.003 2.251
Zn -0.219 -4.697 5.792
Zn -0.131 -2.816 3.473
```

Summary:
SG: R-3m

---

Entry two
Computed, not measured: an optimized crystal structure of ZnB6 at the PBE-GGA level of DFT.

extended XYZ file:
```
7
Lattice="4.122 0.000 0.000 0.000 4.122 0.000 0.000 0.000 4.122" Properties=species:S:1:pos:R:3 pbc="T T T"
B 2.061 0.820 2.061
B 2.061 2.061 0.820
B 2.061 2.061 3.302
B 3.302 2.061 2.061
B 0.820 2.061 2.061
B 2.061 3.302 2.061
Zn 0.000 0.000 0.000
```

Summary:
SG: Pm-3m

---

On energetic grounds, entry one is preferred over the next structure by 8.6 kJ/mol of atoms.

---

Entry one
Computed, not measured: an optimized crystal structure of BaBeNbCo at the PBE-GGA level of DFT.

extended XYZ file:
```
4
Lattice="1.645 2.090 3.981 -0.612 4.702 0.663 -3.069 1.570 3.323" Properties=species:S:1:pos:R:3 pbc="T T T"
Be -1.526 6.272 5.976
Ba 0.000 0.000 0.000
Nb -1.017 4.181 3.984
Co -0.509 2.091 1.992
```

Summary:
SG: F-43m
total magnetization: 0.58 μB/atom

---

Entry two
Computed, not measured: an optimized crystal structure of BaBeNbCo at the PBE-GGA level of DFT.

extended XYZ file:
```
4
Lattice="0.000 3.291 3.291 3.291 0.000 3.291 3.291 3.291 0.000" Properties=species:S:1:pos:R:3 pbc="T T T"
Ba 3.291 3.291 3.291
Nb 1.645 1.645 1.645
Be 4.936 4.936 4.936
Co 0.000 0.000 0.000
```

Summary:
SG: F-43m
total magnetization: 0.00 μB/atom

---

On energetic grounds, entry one is preferred over the next structure by 0.7 kJ/mol of atoms.

---

Entry one
Computed, not measured: an optimized crystal structure of BaTaBeCo at the PBE-GGA level of DFT.

extended XYZ file:
```
4
Lattice="0.000 3.376 3.376 3.376 0.000 3.376 3.376 3.376 0.000" Properties=species:S:1:pos:R:3 pbc="T T T"
Ba 0.000 0.000 0.000
Co 1.688 1.688 1.688
Be 5.064 5.064 5.064
Ta 3.376 3.376 3.376
```

Summary:
SG: F-43m
total magnetization: 0.03 μB/atom

---

Entry two
Computed, not measured: an optimized crystal structure of BaTaBeCo at the PBE-GGA level of DFT.

extended XYZ file:
```
4
Lattice="0.000 3.275 3.275 3.275 0.000 3.275 3.275 3.275 0.000" Properties=species:S:1:pos:R:3 pbc="T T T"
Ba 1.638 1.638 1.638
Co 0.000 0.000 0.000
Ta 3.275 3.275 3.275
Be 4.913 4.913 4.913
```

Summary:
SG: F-43m
total magnetization: 0.00 μB/atom

---

On energetic grounds, entry one is preferred over the next structure by 16.7 kJ/mol of atoms.

---

Entry one
Computed, not measured: an optimized crystal structure of BaBeFeTe at the PBE-GGA level of DFT.

extended XYZ file:
```
4
Lattice="0.000 3.743 3.743 3.743 0.000 3.743 3.743 3.743 0.000" Properties=species:S:1:pos:R:3 pbc="T T T"
Fe 0.000 0.000 0.000
Te 3.743 3.743 3.743
Be 5.614 5.614 5.614
Ba 1.871 1.871 1.871
```

Summary:
SG: F-43m
total magnetization: 0.63 μB/atom

---

Entry two
Computed, not measured: an optimized crystal structure of BaBeFeTe at the PBE-GGA level of DFT.

extended XYZ file:
```
4
Lattice="0.000 3.550 3.550 3.550 0.000 3.550 3.550 3.550 0.000" Properties=species:S:1:pos:R:3 pbc="T T T"
Be 5.325 5.325 5.325
Fe 1.775 1.775 1.775
Ba 0.000 0.000 0.000
Te 3.550 3.550 3.550
```

Summary:
SG: F-43m
total magnetization: 0.63 μB/atom

---

On energetic grounds, entry two is preferred over the next structure by 12.7 kJ/mol of atoms.